Entry 1:
Computed, not measured: La6SbPb2Se3 after structural relaxation at the PBE level of DFT.

```
data_La6SbPb2Se3
_cell_length_a 4.525
_cell_length_b 8.972
_cell_length_c 10.041
_cell_angle_alpha 102.08
_cell_angle_beta 103.02
_cell_angle_gamma 90.00
_space_group_name_H-M_alt 'P 1'
_space_group_IT_number 1
loop_
_space_group_symop_operation_xyz
'x,y,z'
loop_
_atom_site_label
_atom_site_type_symbol
_atom_site_fract_x
_atom_site_fract_y
_atom_site_fract_z
_atom_site_occupancy
Se1 Se 0.166 0.833 0.332 1
Se2 Se 0.834 0.167 0.668 1
Se3 Se 0.500 0.500 0.000 1
La1 La 0.332 0.924 0.663 1
La2 La 0.336 0.411 0.672 1
La3 La 0.002 0.746 0.004 1
La4 La 0.668 0.076 0.337 1
La5 La 0.664 0.589 0.328 1
La6 La 0.998 0.254 0.996 1
Pb1 Pb 0.166 0.332 0.333 1
Pb2 Pb 0.834 0.668 0.667 1
Sb1 Sb 0.500 0.000 0.000 1
```

Results
Magnetic moment, μB per formula unit: 0.00
Formation energy without anion corrections, eV/atom: -1.40
VASP energy, eV/atom: -5.69

***

Entry 2:
Computed, not measured: LaTa2SbPb after structural relaxation at the PBE level of DFT.

```
data_LaTa2SbPb
_cell_length_a 5.143
_cell_length_b 5.919
_cell_length_c 5.143
_cell_angle_alpha 90.00
_cell_angle_beta 90.00
_cell_angle_gamma 90.00
_space_group_name_H-M_alt 'P 1'
_space_group_IT_number 1
loop_
_space_group_symop_operation_xyz
'x,y,z'
loop_
_atom_site_label
_atom_site_type_symbol
_atom_site_fract_x
_atom_site_fract_y
_atom_site_fract_z
_atom_site_occupancy
Pb1 Pb 0.500 0.500 0.500 1
La1 La 0.000 0.000 0.000 1
Ta1 Ta 0.500 0.000 0.000 1
Ta2 Ta 0.000 0.000 0.500 1
Sb1 Sb 0.000 0.500 0.000 1
```

Results
Magnetic moment, μB per formula unit: 0.03
Formation energy without anion corrections, eV/atom: 1.87
VASP energy, eV/atom: -5.42

***

Entry 3:
Computed, not measured: La4SbTe2Pb after structural relaxation at the PBE level of DFT.

```
data_La4SbTe2Pb
_cell_length_a 4.643
_cell_length_b 7.997
_cell_length_c 8.026
_cell_angle_alpha 70.43
_cell_angle_beta 90.00
_cell_angle_gamma 90.00
_space_group_name_H-M_alt 'P 1'
_space_group_IT_number 1
loop_
_space_group_symop_operation_xyz
'x,y,z'
loop_
_atom_site_label
_atom_site_type_symbol
_atom_site_fract_x
_atom_site_fract_y
_atom_site_fract_z
_atom_site_occupancy
La1 La 0.000 0.257 0.248 1
La2 La 0.000 0.743 0.752 1
La3 La 0.500 0.742 0.253 1
La4 La 0.500 0.258 0.747 1
Te1 Te 0.500 0.000 0.500 1
Te2 Te 0.000 0.000 0.000 1
Pb1 Pb 0.500 0.500 0.000 1
Sb1 Sb 0.000 0.500 0.500 1
```

Results
Magnetic moment, μB per formula unit: 0.00
Formation energy without anion corrections, eV/atom: -1.31
VASP energy, eV/atom: -5.53

***

Entry 4:
Computed, not measured: La6Sb3TePb2 after structural relaxation at the PBE level of DFT.

```
data_La6Sb3TePb2
_cell_length_a 4.575
_cell_length_b 9.403
_cell_length_c 10.389
_cell_angle_alpha 103.24
_cell_angle_beta 102.72
_cell_angle_gamma 90.00
_space_group_name_H-M_alt 'P 1'
_space_group_IT_number 1
loop_
_space_group_symop_operation_xyz
'x,y,z'
loop_
_atom_site_label
_atom_site_type_symbol
_atom_site_fract_x
_atom_site_fract_y
_atom_site_fract_z
_atom_site_occupancy
La1 La 0.335 0.412 0.670 1
La2 La 0.332 0.921 0.665 1
La3 La 0.999 0.255 0.999 1
La4 La 0.001 0.745 0.001 1
La5 La 0.668 0.079 0.335 1
La6 La 0.665 0.588 0.330 1
Sb1 Sb 0.835 0.166 0.670 1
Sb2 Sb 0.500 0.500 0.000 1
Sb3 Sb 0.165 0.834 0.330 1
Pb1 Pb 0.166 0.332 0.333 1
Pb2 Pb 0.834 0.668 0.667 1
Te1 Te 0.500 0.000 0.000 1
```

Results
Magnetic moment, μB per formula unit: 0.00
Formation energy without anion corrections, eV/atom: -1.09
VASP energy, eV/atom: -5.46

***

Entry 5:
Computed, not measured: LaSb2TePb after structural relaxation at the PBE level of DFT.

```
data_LaSb2TePb
_cell_length_a 5.690
_cell_length_b 5.690
_cell_length_c 5.813
_cell_angle_alpha 90.00
_cell_angle_beta 90.00
_cell_angle_gamma 90.00
_space_group_name_H-M_alt 'P 1'
_space_group_IT_number 1
loop_
_space_group_symop_operation_xyz
'x,y,z'
loop_
_atom_site_label
_atom_site_type_symbol
_atom_site_fract_x
_atom_site_fract_y
_atom_site_fract_z
_atom_site_occupancy
Sb1 Sb 0.500 0.000 0.000 1
Sb2 Sb 0.000 0.500 0.000 1
Te1 Te 0.000 0.000 0.500 1
La1 La 0.500 0.500 0.500 1
Pb1 Pb 0.000 0.000 0.000 1
```

Results
Magnetic moment, μB per formula unit: 0.00
Relative energy among the computed polymorphs, eV/atom: 0.0000
Formation energy without anion corrections, eV/atom: 0.17
VASP energy, eV/atom: -3.83

***

Entry 6:
Computed, not measured: LaSb2TePb after structural relaxation at the PBE level of DFT.

```
data_LaSb2TePb
_cell_length_a 6.025
_cell_length_b 6.025
_cell_length_c 6.045
_cell_angle_alpha 90.00
_cell_angle_beta 90.00
_cell_angle_gamma 90.00
_space_group_name_H-M_alt 'P 1'
_space_group_IT_number 1
loop_
_space_group_symop_operation_xyz
'x,y,z'
loop_
_atom_site_label
_atom_site_type_symbol
_atom_site_fract_x
_atom_site_fract_y
_atom_site_fract_z
_atom_site_occupancy
Sb1 Sb 0.500 0.000 0.000 1
Sb2 Sb 0.000 0.500 0.000 1
Pb1 Pb 0.500 0.500 0.500 1
La1 La 0.000 0.000 0.000 1
Te1 Te 0.000 0.000 0.500 1
```

Results
Magnetic moment, μB per formula unit: 0.00
Relative energy among the computed polymorphs, eV/atom: 0.0497
Formation energy without anion corrections, eV/atom: 0.22
VASP energy, eV/atom: -3.78

***

> What is the formation energy without anion corrections in the second record?

1.87 eV/atom